Material: Ca8Cd2Rh3
Method: DFT, PBE-GGA
State: relaxed

Lattice parameters (Å, degrees): 5.030 9.992 9.029 123.62 90.00 90.00
Element x y z (fractional)
Ca  0.500  0.138  0.781
Ca  0.500  0.357  0.218
Cd  0.500  0.247  0.494
Ca  0.000  0.109  0.218
Ca  0.000  0.611  0.221
Rh  0.000  0.750  0.000
Ca  0.500  0.862  0.219
Ca  0.000  0.891  0.782
Ca  0.500  0.643  0.782
Cd  0.500  0.753  0.506
Rh  0.000  0.250  0.000
Ca  0.000  0.389  0.779
Rh  0.500  0.000  0.000

ΔH_f (0 K) = -264 meV per atom
M_tot = 0.000 μB per formula unit